Ag3SbSe4 | Alexandria | PBE | relaxed; crystal system = tetragonal; theoretical density = 5.546 g/cm3; raw formation energy = -117 meV per atom; space group = No. 121; V = 28.487 Å³/atom
1.0
-3.069 3.069 6.051
3.069 -3.069 6.051
3.069 3.069 -6.051
Ag Sb Se
3 1 4
Direct
0.000 0.000 0.000
0.250 0.750 0.500
0.750 0.250 0.500
0.500 0.500 0.000
0.135 0.135 0.517
0.382 0.865 0.000
0.618 0.618 0.483
0.865 0.382 0.000

---

PrHoErHg | Alexandria | PBE | relaxed; crystal system = tetragonal; theoretical density = 9.488 g/cm3; space group = No. 99; V = 29.475 Å³/atom; E_form = -0.93 eV per formula unit
1.0
3.643 0.000 0.000
0.000 3.643 0.000
0.000 0.000 8.886
Pr Ho Er Hg
1 1 1 1
Direct
0.000 0.000 0.000
0.500 0.500 0.714
0.500 0.500 0.285
0.000 0.000 0.497

---

CeHoAgAu | Alexandria | PBE | relaxed; crystal system = cubic; theoretical density = 10.333 g/cm3; space group = No. 216; V = 24.503 Å³/atom; E_form = -1.78 eV per formula unit
1.0
0.000 3.659 3.659
3.659 0.000 3.659
3.659 3.659 0.000
Ce Ho Ag Au
1 1 1 1
Direct
0.000 0.000 0.000
0.500 0.500 0.500
0.750 0.750 0.750
0.250 0.250 0.250

---

no.,N(E_F) (states/eV per atom)
1,0.195
2,1.235
3,2.239